! LiDy2MnO5, optimized geometry, DFT PBE+U; values from VASP
&SYSTEM
  ibrav = 0, nat = 18, ntyp = 4
/
ATOMIC_SPECIES
Dy 162.50 Dy.upf
O 16.00 O.upf
Mn 54.94 Mn.upf
Li 6.94 Li.upf
CELL_PARAMETERS angstrom
5.684 0.000 0.000
0.000 6.442 0.000
0.000 0.000 6.442
ATOMIC_POSITIONS angstrom
Dy 2.842 1.143 2.078
Dy 2.842 5.299 4.365
Dy 2.842 4.365 1.143
Dy 2.842 2.078 5.299
O 2.842 0.000 0.000
O 4.298 4.119 5.544
O 4.298 5.544 2.323
O 2.842 3.221 3.221
O 1.386 5.544 2.323
O 4.298 0.898 4.119
O 4.298 2.323 0.898
O 1.386 0.898 4.119
O 1.386 4.119 5.544
O 1.386 2.323 0.898
Mn 0.000 3.221 0.000
Mn 0.000 0.000 3.221
Li 0.000 3.221 3.221
Li 0.000 0.000 0.000
! Calculated total energy in eV/atom: -7.3775
! Volume in A^3/atom: 13.106
! DOS at the Fermi energy in states/eV per cell: 0.00